Material: PrYAlNi2
Method: DFT, PBE
State: relaxed

Geometry as CIF:
```
data_PrYAlNi2
_symmetry_space_group_name_H-M 'I m m 2'
_symmetry_Int_Tables_number 44
_cell_length_a 4.2258
_cell_length_b 5.4733
_cell_length_c 8.5633
_cell_angle_alpha 90.00
_cell_angle_beta 90.00
_cell_angle_gamma 90.00
loop_
_symmetry_equiv_pos_as_xyz
'x,y,z'
'-x,-y,z'
'-x,y,z'
'x,-y,z'
'x+1/2,y+1/2,z+1/2'
'-x+1/2,-y+1/2,z+1/2'
'-x+1/2,y+1/2,z+1/2'
'x+1/2,-y+1/2,z+1/2'
loop_
_atom_site_label
_atom_site_fract_x
_atom_site_fract_y
_atom_site_fract_z
Pr1 0.0000 0.0000 0.0000
Y1 0.0000 0.0000 0.5964
Al1 0.0000 0.5000 0.7987
Ni1 0.0000 0.2636 0.2967
```

Results
* electronic total energy: -5.699 eV per atom

***

Material: PrYAl4Ni2
Method: DFT, PBE
State: relaxed

Geometry as CIF:
```
data_PrYAl4Ni2
_symmetry_space_group_name_H-M 'A m m 2'
_symmetry_Int_Tables_number 38
_cell_length_a 6.9231
_cell_length_b 4.0671
_cell_length_c 10.5739
_cell_angle_alpha 90.00
_cell_angle_beta 90.00
_cell_angle_gamma 90.00
loop_
_symmetry_equiv_pos_as_xyz
'x,y,z'
'-x,-y,z'
'-x,y,z'
'x,-y,z'
'x,y+1/2,z+1/2'
'-x,-y+1/2,z+1/2'
'-x,y+1/2,z+1/2'
'x,-y+1/2,z+1/2'
loop_
_atom_site_label
_atom_site_fract_x
_atom_site_fract_y
_atom_site_fract_z
Pr1 0.0000 0.0000 0.0000
Y1 0.5000 0.0000 0.8860
Al1 0.1970 0.0000 0.2797
Al2 0.3086 0.0000 0.6086
Ni1 0.0000 0.0000 0.7243
Ni2 0.5000 0.0000 0.1590
```

Results
* electronic total energy: -5.275 eV per atom

***

Material: PrY2Al2Ni4
Method: DFT, PBE
State: relaxed

Geometry as CIF:
```
data_PrY2Al2Ni4
_symmetry_space_group_name_H-M 'C 1 2/m 1'
_symmetry_Int_Tables_number 12
_cell_length_a 9.9854
_cell_length_b 4.1262
_cell_length_c 8.1646
_cell_angle_alpha 90.00
_cell_angle_beta 98.55
_cell_angle_gamma 90.00
loop_
_symmetry_equiv_pos_as_xyz
'x,y,z'
'-x,-y,-z'
'-x,y,-z'
'x,-y,z'
'x+1/2,y+1/2,z'
'-x+1/2,-y+1/2,-z'
'-x+1/2,y+1/2,-z'
'x+1/2,-y+1/2,z'
loop_
_atom_site_label
_atom_site_fract_x
_atom_site_fract_y
_atom_site_fract_z
Pr1 0.0000 0.0000 0.0000
Y1 0.1252 0.5000 0.3830
Al1 0.1788 0.5000 0.7778
Ni1 0.0845 0.0000 0.6302
Ni2 0.2350 0.5000 0.0866
```

Results
* electronic total energy: -5.811 eV per atom

***

Material: AlNiPt
Method: DFT, PBE
State: relaxed

Geometry as CIF:
```
data_AlNiPt
_symmetry_space_group_name_H-M 'F -4 3 m'
_symmetry_Int_Tables_number 216
_symmetry_space_group_name_Hall 'F -4 2 3'
_cell_length_a 5.6563
_cell_length_b 5.6563
_cell_length_c 5.6563
_cell_angle_alpha 90.00
_cell_angle_beta 90.00
_cell_angle_gamma 90.00
loop_
_atom_site_label
_atom_site_fract_x
_atom_site_fract_y
_atom_site_fract_z
Al1 0.0000 0.0000 0.0000
Ni1 0.2500 0.2500 0.7500
Pt1 0.2500 0.2500 0.2500
```

Results
* electronic total energy: -5.638 eV per atom

***

Material: Al4NiPt3
Method: DFT, PBE
State: relaxed

Geometry as CIF:
```
data_Al4NiPt3
_symmetry_space_group_name_H-M 'R 3'
_symmetry_Int_Tables_number 146
_symmetry_space_group_name_Hall 'R 3'
_cell_length_a 6.8729
_cell_length_b 6.8729
_cell_length_c 8.3950
_cell_angle_alpha 90.00
_cell_angle_beta 90.00
_cell_angle_gamma 120.00
loop_
_atom_site_label
_atom_site_fract_x
_atom_site_fract_y
_atom_site_fract_z
Al1 0.0000 0.0000 0.0000
Al2 0.1033 0.3933 0.2010
Ni1 0.0000 0.0000 0.3019
Pt1 0.0334 0.7621 0.7680
```

Results
* electronic total energy: -5.787 eV per atom

***

Material: AlReNiPt
Method: DFT, PBE
State: relaxed

Geometry as CIF:
```
data_AlReNiPt
_symmetry_space_group_name_H-M 'F -4 3 m'
_symmetry_Int_Tables_number 216
_symmetry_space_group_name_Hall 'F -4 2 3'
_cell_length_a 6.0963
_cell_length_b 6.0963
_cell_length_c 6.0963
_cell_angle_alpha 90.00
_cell_angle_beta 90.00
_cell_angle_gamma 90.00
loop_
_atom_site_label
_atom_site_fract_x
_atom_site_fract_y
_atom_site_fract_z
Al1 0.0000 0.0000 0.0000
Re1 0.0000 0.0000 0.5000
Ni1 0.2500 0.2500 0.2500
Pt1 0.2500 0.2500 0.7500
```

Results
* electronic total energy: -6.978 eV per atom

***

Material: ScAlNiPt
Method: DFT, PBE
State: relaxed

Geometry as CIF:
```
data_ScAlNiPt
_symmetry_space_group_name_H-M 'F -4 3 m'
_symmetry_Int_Tables_number 216
_symmetry_space_group_name_Hall 'F -4 2 3'
_cell_length_a 6.2909
_cell_length_b 6.2909
_cell_length_c 6.2909
_cell_angle_alpha 90.00
_cell_angle_beta 90.00
_cell_angle_gamma 90.00
loop_
_atom_site_label
_atom_site_fract_x
_atom_site_fract_y
_atom_site_fract_z
Sc1 0.0000 0.0000 0.0000
Al1 0.2500 0.2500 0.2500
Ni1 0.0000 0.0000 0.5000
Pt1 0.2500 0.2500 0.7500
```

Results
* energy above the most stable polymorph in this dataset: 343 meV per atom

***

Material: ScAlNiPt
Method: DFT, PBE
State: relaxed

Geometry as CIF:
```
data_ScAlNiPt
_symmetry_space_group_name_H-M 'F -4 3 m'
_symmetry_Int_Tables_number 216
_symmetry_space_group_name_Hall 'F -4 2 3'
_cell_length_a 6.2367
_cell_length_b 6.2367
_cell_length_c 6.2367
_cell_angle_alpha 90.00
_cell_angle_beta 90.00
_cell_angle_gamma 90.00
loop_
_atom_site_label
_atom_site_fract_x
_atom_site_fract_y
_atom_site_fract_z
Sc1 0.0000 0.0000 0.0000
Al1 0.0000 0.0000 0.5000
Ni1 0.2500 0.2500 0.7500
Pt1 0.2500 0.2500 0.2500
```

Results
* energy above the most stable polymorph in this dataset: 0 meV per atom